A plane-wave DFT calculation with PBE was carried out for a relaxed structure of ReBrCl4.

## Properties
energy relative to the lowest polymorph listed for this composition: 4 meV per atom
E_tot: -24.41 eV/f.u.

abc: 6.312 6.830 9.351
angles: 108.77 91.08 115.46
Fractional coordinates of all 12 atoms:
Re  0.103  0.212  0.216
Re  0.897  0.788  0.784
Br  0.253  0.191  0.954
Br  0.747  0.809  0.046
Cl  0.064  0.812  0.575
Cl  0.112  0.623  0.849
Cl  0.300  0.010  0.244
Cl  0.426  0.561  0.335
Cl  0.574  0.439  0.665
Cl  0.700  0.990  0.756
Cl  0.888  0.377  0.151
Cl  0.936  0.188  0.425